(1)
# HfV9Sn2 | Alexandria via LeMat-Bulk | PBE | optimized geometry
# Space group ... R-3m, No. 166
# Formation energy from the elements ... 8 kJ per mole of atoms
data_HfV9Sn2
_cell_length_a 5.2972
_cell_length_b 5.2972
_cell_length_c 8.4231
_cell_angle_alpha 71.67
_cell_angle_beta 71.67
_cell_angle_gamma 60.00
_symmetry_space_group_name_H-M 'P 1'
_symmetry_Int_Tables_number 1
loop_
_symmetry_equiv_pos_as_xyz
'x,y,z'
loop_
_atom_site_label
_atom_site_type_symbol
_atom_site_fract_x
_atom_site_fract_y
_atom_site_fract_z
_atom_site_occupancy
Hf1 Hf 0.0000 0.0000 0.0000 1
V1 V 0.4163 0.4163 0.2490 1
V2 V 0.9184 0.4163 0.2490 1
V3 V 0.5837 0.0816 0.7510 1
V4 V 0.3333 0.3333 0.0002 1
V5 V 0.6667 0.6667 0.9998 1
V6 V 0.5000 0.5000 0.5000 1
V7 V 0.4163 0.9184 0.2490 1
V8 V 0.0816 0.5837 0.7510 1
V9 V 0.5837 0.5837 0.7510 1
Sn1 Sn 0.8623 0.8623 0.4130 1
Sn2 Sn 0.1377 0.1377 0.5870 1

(2)
# Tc2AuCl | Alexandria via LeMat-Bulk | PBE | optimized geometry
# Formation energy from raw total energies ... 5.0 eV/f.u.
# Space group ... I-42d, No. 122
data_Tc2AuCl
_cell_length_a 5.3870
_cell_length_b 5.3870
_cell_length_c 6.8757
_cell_angle_alpha 66.94
_cell_angle_beta 66.94
_cell_angle_gamma 90.00
_symmetry_space_group_name_H-M 'P 1'
_symmetry_Int_Tables_number 1
loop_
_symmetry_equiv_pos_as_xyz
'x,y,z'
loop_
_atom_site_label
_atom_site_type_symbol
_atom_site_fract_x
_atom_site_fract_y
_atom_site_fract_z
_atom_site_occupancy
Tc1 Tc 0.1848 0.6250 0.2500 1
Tc2 Tc 0.5652 0.1250 0.2500 1
Tc3 Tc 0.8750 0.8152 0.7500 1
Tc4 Tc 0.3750 0.4348 0.7500 1
Au1 Au 0.7500 0.2500 0.5000 1
Au2 Au 0.0000 0.0000 0.0000 1
Cl1 Cl 0.2500 0.7500 0.5000 1
Cl2 Cl 0.5000 0.5000 0.0000 1